1.
First-principles (GGA-PBE) data for crystalline MgTaH at its relaxed geometry, as listed in Alexandria.

The structure belongs to space group P1 (No. 1); the cell edges are 3.517, 3.521 and 6.825 Å and the angles 90.01°, 90.01° and 90.00°. The distinct sites, in fractional coordinates, are Mg at (0.000, 0.000, 0.000), Mg at (0.500, 0.499, 0.327), Ta at (0.497, 0.500, 0.755), Ta at (0.997, 0.000, 0.572), H at (0.488, 0.501, 0.043) and H at (0.988, 0.002, 0.284).

For the energy above the lowest structure with this stoichiometry, the calculation gives 84.4 meV per atom. The total energy is -33.44 eV per cell. For the mass density, the calculation gives 8.107 g/cm³.

---

2.
First-principles (GGA-PBE) data for crystalline Pr12AlCd6 at its relaxed geometry, as listed in Alexandria.

The structure belongs to space group R-3 (No. 148, hexagonal axes); the cell edges are 11.5769, 11.5769 and 14.8441 Å and the angles 90.00°, 90.00° and 120.00°. The distinct sites, in fractional coordinates, are Pr at (0.0332, 0.1909, 0.3182), Pr at (0.0664, 0.8535, 0.9058), Al at (0.0000, 0.0000, 0.5000) and Cd at (0.0420, 0.4475, 0.2028).

The total energy is -207.24 eV per cell. The energy of formation from the pure elements comes out at -131 meV/atom. For the mass density, the calculation gives 6.917 g/cm³.

---

3.
First-principles (GGA-PBE) data for crystalline K3Tl4As2Pd2 at its relaxed geometry, as listed in Alexandria.

The structure belongs to space group P-3m1 (No. 164); the cell edges are 4.9406, 4.9406 and 15.4404 Å and the angles 90.00°, 90.00° and 120.00°. The distinct sites, in fractional coordinates, are K at (0.0000, 0.0000, 0.0000), K at (0.0000, 0.0000, 0.2921), Tl at (0.3333, 0.6667, 0.4258), Tl at (0.3333, 0.6667, 0.8159), As at (0.3333, 0.6667, 0.1457) and Pd at (0.3333, 0.6667, 0.6082).

The total energy is -33.54 eV per cell. The energy of formation from the pure elements comes out at -100 meV/atom. For the mass density, the calculation gives 6.601 g/cm³.

---

4.
First-principles (GGA-PBE) data for crystalline Pr8Cu2Au at its relaxed geometry, as listed in Alexandria.

The structure belongs to space group C2/m (No. 12); the cell edges are 18.583, 5.269 and 7.032 Å and the angles 90.00°, 107.17° and 90.00°. The distinct sites, in fractional coordinates, are Pr at (0.029, 0.000, 0.280), Pr at (0.092, 0.500, 0.968), Pr at (0.173, 0.500, 0.497), Pr at (0.199, 0.000, 0.845), Cu at (0.178, 0.000, 0.237) and Au at (0.000, 0.500, 0.500).

For the energy above the lowest structure with this stoichiometry, the calculation gives 0.0 meV per atom. The total energy is -102.99 eV per cell. The energy of formation from the pure elements comes out at -163 meV/atom. For the mass density, the calculation gives 7.327 g/cm³.

---

5.
First-principles (GGA-PBE) data for crystalline Nd2AlGe3Rh4 at its relaxed geometry, as listed in Alexandria.

The structure belongs to space group P-4m2 (No. 115); the cell edges are 4.241, 4.241 and 10.254 Å and the angles 90.00°, 90.00° and 90.00°. The distinct sites, in fractional coordinates, are Nd at (0.000, 0.500, 0.250), Al at (0.000, 0.000, 0.500), Ge at (0.000, 0.500, 0.870), Ge at (0.500, 0.500, 0.500), Rh at (0.000, 0.000, 0.000), Rh at (0.000, 0.500, 0.630) and Rh at (0.500, 0.500, 0.000).

The total energy is -65.51 eV per cell. The energy of formation from the pure elements comes out at -897 meV/atom. For the mass density, the calculation gives 8.510 g/cm³.

---

6.
First-principles (GGA-PBE) data for crystalline Fe2TcP at its relaxed geometry, as listed in Alexandria.

The structure belongs to space group I-4m2 (No. 119); the cell edges are 3.567, 3.567 and 7.337 Å and the angles 90.00°, 90.00° and 90.00°. The distinct sites, in fractional coordinates, are Fe at (0.000, 0.000, 0.000), Fe at (0.000, 0.500, 0.250), Tc at (0.000, 0.000, 0.500) and P at (0.000, 0.500, 0.750).

The total energy is -65.76 eV per cell. The energy of formation from the pure elements comes out at -45 meV/atom. For the mass density, the calculation gives 8.560 g/cm³.

---

7.
First-principles (GGA-PBE) data for crystalline PaSb2Pd at its relaxed geometry, as listed in Alexandria.

The structure belongs to space group Imm2 (No. 44); the cell edges are 4.113, 4.593 and 9.734 Å and the angles 90.00°, 90.00° and 90.00°. The distinct sites, in fractional coordinates, are Pa at (0.000, 0.000, 0.000), Sb at (0.000, 0.000, 0.523), Sb at (0.000, 0.500, 0.760) and Pd at (0.000, 0.500, 0.230).

The calculation puts the raw formation energy at -465 meV/atom. The total energy is -49.58 eV per cell. For the mass density, the calculation gives 10.493 g/cm³.

---

8.
First-principles (GGA-PBE) data for crystalline Pr2FeSiPt6 at its relaxed geometry, as listed in Alexandria.

The structure belongs to space group C2/m (No. 12); the cell edges are 11.849, 5.525 and 8.217 Å and the angles 90.00°, 131.96° and 90.00°. The distinct sites, in fractional coordinates, are Pr at (0.240, 0.000, 0.201), Fe at (0.000, 0.500, 0.000), Si at (0.000, 0.000, 0.500), Pt at (0.000, 0.252, 0.258) and Pt at (0.250, 0.000, 0.615).

The calculation puts the raw formation energy at -760 meV/atom. The total energy is -134.58 eV per cell. For the mass density, the calculation gives 12.755 g/cm³.

---

9.
First-principles (GGA-PBE) data for crystalline SrHgW2 at its relaxed geometry, as listed in Alexandria.

The structure belongs to space group R-3m (No. 166, hexagonal axes); the cell edges are 2.9827, 2.9827 and 31.7398 Å and the angles 90.00°, 90.00° and 120.00°. The distinct sites, in fractional coordinates, are Sr at (0.0000, 0.0000, 0.0000), Hg at (0.0000, 0.0000, 0.5000) and W at (0.0000, 0.0000, 0.2431).

The total energy is -68.95 eV per cell. The energy of formation from the pure elements comes out at 1227 meV/atom. For the mass density, the calculation gives 13.361 g/cm³.

---

10.
First-principles (GGA-PBE) data for crystalline CaGePb2 at its relaxed geometry, as listed in Alexandria.

The structure belongs to space group P4/mmm (No. 123); the cell edges are 4.783, 4.783 and 4.755 Å and the angles 90.00°, 90.00° and 90.00°. The distinct sites, in fractional coordinates, are Ca at (0.000, 0.000, 0.000), Ge at (0.500, 0.500, 0.000) and Pb at (0.000, 0.500, 0.500).

The total energy is -14.98 eV per cell. The energy of formation from the pure elements comes out at -235 meV/atom. For the mass density, the calculation gives 8.046 g/cm³.

---

11.
First-principles (GGA-PBE) data for crystalline CrAs2 at its relaxed geometry, as listed in Alexandria.

The structure belongs to space group I4/mmm (No. 139); the cell edges are 2.977, 2.977 and 11.848 Å and the angles 90.00°, 90.00° and 90.00°. The distinct sites, in fractional coordinates, are Cr at (0.000, 0.000, 0.000) and As at (0.000, 0.000, 0.374).

The total energy is -37.42 eV per cell. The energy of formation from the pure elements comes out at 71 meV/atom. For the mass density, the calculation gives 6.386 g/cm³.

---

12.
First-principles (GGA-PBE) data for crystalline Y2As at its relaxed geometry, as listed in Alexandria.

The structure belongs to space group Pa-3 (No. 205); the cell edges are 6.968, 6.968 and 6.968 Å and the angles 90.00°, 90.00° and 90.00°. The distinct sites, in fractional coordinates, are Y at (0.152, 0.152, 0.152) and As at (0.000, 0.000, 0.500).

The total energy is -79.88 eV per cell. The energy of formation from the pure elements comes out at -797 meV/atom. For the mass density, the calculation gives 4.962 g/cm³.

---

13.
First-principles (GGA-PBE) data for crystalline Zr10Sn3Pb3 at its relaxed geometry, as listed in Alexandria.

The structure belongs to space group P-62m (No. 189); the cell edges are 8.5955, 8.5955 and 5.8455 Å and the angles 90.00°, 90.00° and 120.00°. The distinct sites, in fractional coordinates, are Zr at (0.0000, 0.2459, 0.0000), Zr at (0.0000, 0.7514, 0.5000), Zr at (0.3333, 0.6667, 0.2531), Sn at (0.0000, 0.3897, 0.5000) and Pb at (0.0000, 0.6070, 0.0000).

The total energy is -115.16 eV per cell. The energy of formation from the pure elements comes out at -409 meV/atom. For the mass density, the calculation gives 8.391 g/cm³.

---

14.
First-principles (GGA-PBE) data for crystalline PaNbVW at its relaxed geometry, as listed in Alexandria.

The structure belongs to space group F-43m (No. 216); the cell edges are 6.618, 6.618 and 6.618 Å and the angles 90.00°, 90.00° and 90.00°. The distinct sites, in fractional coordinates, are Pa at (0.000, 0.000, 0.000), Nb at (0.000, 0.000, 0.500), V at (0.250, 0.250, 0.250) and W at (0.250, 0.250, 0.750).

The total energy is -164.35 eV per cell. The energy of formation from the pure elements comes out at 138 meV/atom. For the mass density, the calculation gives 12.802 g/cm³.

---

15.
First-principles (GGA-PBE) data for crystalline NdHo2Tl2Zn2 at its relaxed geometry, as listed in Alexandria.

The structure belongs to space group R-3m (No. 166, hexagonal axes); the cell edges are 4.7891, 4.7891 and 27.1132 Å and the angles 90.00°, 90.00° and 120.00°. The distinct sites, in fractional coordinates, are Nd at (0.0000, 0.0000, 0.0000), Ho at (0.0000, 0.0000, 0.1311), Tl at (0.0000, 0.0000, 0.2641) and Zn at (0.0000, 0.0000, 0.4250).

The total energy is -67.22 eV per cell. The energy of formation from the pure elements comes out at -172 meV/atom. For the mass density, the calculation gives 9.377 g/cm³.

---

16.
First-principles (GGA-PBE) data for crystalline BeRh3 at its relaxed geometry, as listed in Alexandria.

The structure belongs to space group Cmmm (No. 65); the cell edges are 5.245, 7.411 and 2.701 Å and the angles 90.00°, 90.00° and 90.00°. The distinct sites, in fractional coordinates, are Be at (0.000, 0.000, 0.000), Rh at (0.000, 0.500, 0.000) and Rh at (0.250, 0.250, 0.500).

The total energy is -52.41 eV per cell. The energy of formation from the pure elements comes out at -106 meV/atom. For the mass density, the calculation gives 10.051 g/cm³.

---

17.
First-principles (GGA-PBE) data for crystalline InFeAs2 at its relaxed geometry, as listed in Alexandria.

The structure belongs to space group I-42d (No. 122); the cell edges are 5.747, 5.747 and 11.682 Å and the angles 90.00°, 90.00° and 90.00°. The distinct sites, in fractional coordinates, are In at (0.000, 0.000, 0.000), Fe at (0.000, 0.000, 0.500) and As at (0.183, 0.250, 0.625).

The total energy is -80.28 eV per cell. The energy of formation from the pure elements comes out at 108 meV/atom. For the mass density, the calculation gives 5.517 g/cm³.

---

18.
First-principles (GGA-PBE) data for crystalline AcF4 at its relaxed geometry, as listed in Alexandria.

The structure belongs to space group Pm-3m (No. 221); the cell edges are 4.829, 4.829 and 4.829 Å and the angles 90.00°, 90.00° and 90.00°. The distinct sites, in fractional coordinates, are Ac at (0.000, 0.000, 0.000), F at (0.000, 0.000, 0.500) and F at (0.500, 0.500, 0.500).

The calculation puts the raw formation energy at -3095 meV/atom. For the energy above the lowest structure with this stoichiometry, the calculation gives 151.9 meV per atom. The total energy is -27.07 eV per cell. For the mass density, the calculation gives 4.469 g/cm³.

---

19.
First-principles (GGA-PBE) data for crystalline NdMg2 at its relaxed geometry, as listed in Alexandria.

The structure belongs to space group I4/mmm (No. 139); the cell edges are 3.482, 3.482 and 13.469 Å and the angles 90.00°, 90.00° and 90.00°. The distinct sites, in fractional coordinates, are Nd at (0.000, 0.000, 0.000) and Mg at (0.000, 0.000, 0.322).

The total energy is -16.24 eV per cell. The energy of formation from the pure elements comes out at -55 meV/atom. For the mass density, the calculation gives 3.921 g/cm³.

---

20.
First-principles (GGA-PBE) data for crystalline IrPt4 at its relaxed geometry, as listed in Alexandria.

The structure belongs to space group R-3m (No. 166, hexagonal axes); the cell edges are 2.7999, 2.7999 and 34.1315 Å and the angles 90.00°, 90.00° and 120.00°. The distinct sites, in fractional coordinates, are Ir at (0.0000, 0.0000, 0.0000), Pt at (0.0000, 0.0000, 0.2007) and Pt at (0.0000, 0.0000, 0.3982).

For the energy above the lowest structure with this stoichiometry, the calculation gives 0.0 meV per atom. The total energy is -98.74 eV per cell. The energy of formation from the pure elements comes out at 22 meV/atom. For the mass density, the calculation gives 20.908 g/cm³.